Entry 1:
Material: Na2NpTeS4
Method: DFT, GGA-PBE
State: optimized geometry

a b c (Å): 7.280 3.897 7.569
angles (deg): 90.00 108.93 90.00
Sites, in units of the cell vectors:
Na: 0.000 0.000 0.000
Na: 0.500 0.500 0.500
Np: 0.000 0.000 0.500
Te: 0.500 0.500 0.000
S: 0.088 0.500 0.301
S: 0.373 0.000 0.739
S: 0.627 0.000 0.261
S: 0.912 0.500 0.699

ΔE_f (raw) in eV/atom: -0.8989
N(E_F) in states/eV/atom: 1.094
M_tot in Bohr magnetons per cell: 2.99

---

Entry 2:
Material: NaNpTe2S6
Method: DFT, GGA-PBE
State: optimized geometry

a b c (Å): 7.068 7.089 7.561
angles (deg): 64.21 63.37 61.15
Sites, in units of the cell vectors:
Na: 0.000 0.000 0.000
Np: 0.519 0.452 0.485
Te: 0.227 0.360 0.333
Te: 0.644 0.724 0.681
S: 0.137 0.717 0.374
S: 0.323 0.600 0.822
S: 0.445 0.076 0.775
S: 0.609 0.831 0.338
S: 0.712 0.392 0.139
S: 0.898 0.265 0.608

ΔE_f (raw) in eV/atom: -0.4604
N(E_F) in states/eV/atom: 0.681
M_tot in Bohr magnetons per cell: 1.97

---

Entry 3:
Material: Na3ThNp2S6
Method: DFT, GGA-PBE
State: optimized geometry

a b c (Å): 6.999 6.999 7.111
angles (deg): 99.44 99.44 120.00
Sites, in units of the cell vectors:
Na: 0.000 0.000 0.000
Na: 0.333 0.667 0.000
Na: 0.667 0.333 0.000
Th: 0.500 0.500 0.500
Np: 0.167 0.833 0.500
Np: 0.833 0.167 0.500
S: 0.087 0.423 0.268
S: 0.242 0.242 0.732
S: 0.423 0.087 0.268
S: 0.577 0.913 0.732
S: 0.758 0.758 0.268
S: 0.913 0.577 0.732

ΔE_f (raw) in eV/atom: -1.4580
N(E_F) in states/eV/atom: 1.811
M_tot in Bohr magnetons per cell: 9.01

---

Entry 4:
Material: Na2ThNpS4
Method: DFT, GGA-PBE
State: optimized geometry

a b c (Å): 6.997 4.050 7.151
angles (deg): 90.00 109.14 90.00
Sites, in units of the cell vectors:
Na: 0.000 0.000 0.000
Na: 0.500 0.500 0.000
Th: 0.000 0.500 0.500
Np: 0.500 0.000 0.500
S: 0.246 0.000 0.738
S: 0.257 0.500 0.269
S: 0.743 0.500 0.731
S: 0.754 0.000 0.262

ΔE_f (raw) in eV/atom: -1.5027
N(E_F) in states/eV/atom: 1.269
M_tot in Bohr magnetons per cell: 4.94

---

Entry 5:
Material: Na3NpTi2S6
Method: DFT, GGA-PBE
State: optimized geometry

a b c (Å): 6.463 6.463 7.028
angles (deg): 98.87 98.87 120.10
Sites, in units of the cell vectors:
Na: 0.000 0.000 0.000
Na: 0.337 0.663 0.000
Na: 0.663 0.337 0.000
Np: 0.500 0.500 0.500
Ti: 0.168 0.832 0.500
Ti: 0.832 0.168 0.500
S: 0.074 0.428 0.284
S: 0.218 0.218 0.715
S: 0.428 0.074 0.284
S: 0.572 0.926 0.716
S: 0.782 0.782 0.285
S: 0.926 0.572 0.716

ΔE_f (raw) in eV/atom: -1.3418
N(E_F) in states/eV/atom: 1.122
M_tot in Bohr magnetons per cell: 6.02

---

Entry 6:
Material: Na2NpTi2S6
Method: DFT, GGA-PBE
State: optimized geometry

a b c (Å): 6.380 6.380 7.127
angles (deg): 98.38 98.38 120.80
Sites, in units of the cell vectors:
Na: 0.162 0.838 0.000
Na: 0.838 0.162 0.000
Np: 0.000 0.000 0.500
Ti: 0.332 0.668 0.500
Ti: 0.668 0.332 0.500
S: 0.067 0.422 0.711
S: 0.287 0.287 0.290
S: 0.422 0.067 0.711
S: 0.578 0.933 0.289
S: 0.713 0.713 0.710
S: 0.933 0.578 0.289

ΔE_f (raw) in eV/atom: -1.3494
N(E_F) in states/eV/atom: 1.019
M_tot in Bohr magnetons per cell: 5.02

---

Entry 7:
Material: Na2Np2TiS6
Method: DFT, GGA-PBE
State: optimized geometry

a b c (Å): 6.613 6.613 7.120
angles (deg): 98.98 98.98 119.39
Sites, in units of the cell vectors:
Na: 0.169 0.831 0.000
Na: 0.831 0.169 0.000
Np: 0.335 0.665 0.500
Np: 0.665 0.335 0.500
Ti: 0.000 0.000 0.500
S: 0.071 0.386 0.715
S: 0.236 0.236 0.285
S: 0.386 0.071 0.715
S: 0.614 0.929 0.285
S: 0.764 0.764 0.715
S: 0.929 0.614 0.285

ΔE_f (raw) in eV/atom: -1.3401
N(E_F) in states/eV/atom: 1.864
M_tot in Bohr magnetons per cell: 8.00

---

Entry 8:
Material: NaNpTiS4
Method: DFT, GGA-PBE
State: optimized geometry

a b c (Å): 7.712 7.712 7.712
angles (deg): 122.93 114.76 92.15
Sites, in units of the cell vectors:
Na: 0.402 0.152 0.250
Na: 0.598 0.848 0.750
Np: 0.000 0.500 0.500
Np: 0.500 0.500 0.000
Ti: 0.000 0.000 0.500
Ti: 0.000 0.500 0.000
S: 0.202 0.250 0.952
S: 0.202 0.750 0.452
S: 0.232 0.248 0.516
S: 0.232 0.716 0.984
S: 0.768 0.284 0.016
S: 0.768 0.752 0.484
S: 0.798 0.250 0.548
S: 0.798 0.750 0.048

ΔE_f (raw) in eV/atom: -1.3088
N(E_F) in states/eV/atom: 1.418
M_tot in Bohr magnetons per cell: 8.02

---

Entry 9:
Material: Na2NpTl3S6
Method: DFT, GGA-PBE
State: optimized geometry

a b c (Å): 7.098 7.098 7.507
angles (deg): 98.72 98.72 119.67
Sites, in units of the cell vectors:
Na: 0.165 0.835 0.000
Na: 0.835 0.165 0.000
Np: 0.500 0.500 0.000
Tl: 0.000 0.000 0.500
Tl: 0.332 0.668 0.500
Tl: 0.668 0.332 0.500
S: 0.145 0.432 0.800
S: 0.284 0.284 0.216
S: 0.432 0.145 0.800
S: 0.568 0.855 0.200
S: 0.716 0.716 0.784
S: 0.855 0.568 0.200

ΔE_f (raw) in eV/atom: -0.7726
M_tot in Bohr magnetons per cell: 0.00

---

Entry 10:
Material: NaNp3Tl4S8
Method: DFT, GGA-PBE
State: optimized geometry

a b c (Å): 8.799 8.799 8.799
angles (deg): 54.96 54.96 54.96
Sites, in units of the cell vectors:
Na: 0.000 0.000 0.000
Np: 0.000 0.500 0.500
Np: 0.500 0.000 0.500
Np: 0.500 0.500 0.000
Tl: 0.000 0.000 0.500
Tl: 0.000 0.500 0.000
Tl: 0.500 0.000 0.000
Tl: 0.500 0.500 0.500
S: 0.242 0.242 0.711
S: 0.242 0.711 0.242
S: 0.268 0.268 0.268
S: 0.289 0.758 0.758
S: 0.711 0.242 0.242
S: 0.732 0.732 0.732
S: 0.758 0.289 0.758
S: 0.758 0.758 0.289

ΔE_f (raw) in eV/atom: -0.9892
N(E_F) in states/eV/atom: 1.911
M_tot in Bohr magnetons per cell: 10.00

---

Entry 11:
Material: Na4TmNp3S8
Method: DFT, GGA-PBE
State: optimized geometry

a b c (Å): 8.102 8.102 8.102
angles (deg): 59.19 59.19 59.19
Sites, in units of the cell vectors:
Na: 0.000 0.000 0.000
Na: 0.000 0.500 0.500
Na: 0.500 0.000 0.500
Na: 0.500 0.500 0.000
Tm: 0.500 0.500 0.500
Np: 0.000 0.000 0.500
Np: 0.000 0.500 0.000
Np: 0.500 0.000 0.000
S: 0.242 0.242 0.242
S: 0.247 0.740 0.740
S: 0.260 0.260 0.753
S: 0.260 0.753 0.260
S: 0.740 0.247 0.740
S: 0.740 0.740 0.247
S: 0.753 0.260 0.260
S: 0.758 0.758 0.758

ΔE_f (raw) in eV/atom: -1.4705
N(E_F) in states/eV/atom: 1.764
M_tot in Bohr magnetons per cell: 12.00

---

Entry 12:
Material: Na3TmNp2S6
Method: DFT, GGA-PBE
State: optimized geometry

a b c (Å): 6.910 6.910 7.054
angles (deg): 99.40 99.40 120.01
Sites, in units of the cell vectors:
Na: 0.000 0.000 0.000
Na: 0.333 0.667 0.000
Na: 0.667 0.333 0.000
Tm: 0.500 0.500 0.500
Np: 0.167 0.833 0.500
Np: 0.833 0.167 0.500
S: 0.095 0.424 0.273
S: 0.246 0.246 0.726
S: 0.424 0.095 0.273
S: 0.576 0.905 0.727
S: 0.754 0.754 0.274
S: 0.905 0.576 0.727

ΔE_f (raw) in eV/atom: -1.5057
N(E_F) in states/eV/atom: 1.780
M_tot in Bohr magnetons per cell: 8.00

---

Entry 13:
Material: Na3Tm2NpS6
Method: DFT, GGA-PBE
State: optimized geometry

a b c (Å): 6.879 6.879 7.057
angles (deg): 99.34 99.34 119.95
Sites, in units of the cell vectors:
Na: 0.000 0.000 0.000
Na: 0.333 0.667 0.000
Na: 0.667 0.333 0.000
Tm: 0.166 0.834 0.500
Tm: 0.834 0.166 0.500
Np: 0.500 0.500 0.500
S: 0.085 0.425 0.275
S: 0.236 0.236 0.727
S: 0.425 0.085 0.275
S: 0.575 0.915 0.725
S: 0.764 0.764 0.273
S: 0.915 0.575 0.725

ΔE_f (raw) in eV/atom: -1.6660
N(E_F) in states/eV/atom: 0.681
M_tot in Bohr magnetons per cell: 4.00

---

Entry 14:
Material: Na4Tm3NpS8
Method: DFT, GGA-PBE
State: optimized geometry

a b c (Å): 8.089 8.089 8.089
angles (deg): 58.64 58.64 58.64
Sites, in units of the cell vectors:
Na: 0.000 0.000 0.000
Na: 0.000 0.500 0.500
Na: 0.500 0.000 0.500
Na: 0.500 0.500 0.000
Tm: 0.000 0.000 0.500
Tm: 0.000 0.500 0.000
Tm: 0.500 0.000 0.000
Np: 0.500 0.500 0.500
S: 0.236 0.745 0.745
S: 0.241 0.241 0.241
S: 0.255 0.255 0.764
S: 0.255 0.764 0.255
S: 0.745 0.236 0.745
S: 0.745 0.745 0.236
S: 0.759 0.759 0.759
S: 0.764 0.255 0.255

ΔE_f (raw) in eV/atom: -1.7139
N(E_F) in states/eV/atom: 0.443
M_tot in Bohr magnetons per cell: 4.00

---

Entry 15:
Material: NaTmNp2S4
Method: DFT, GGA-PBE
State: optimized geometry

a b c (Å): 6.788 3.921 6.811
angles (deg): 90.00 109.35 90.00
Sites, in units of the cell vectors:
Na: 0.000 0.000 0.000
Tm: 0.000 0.500 0.500
Np: 0.500 0.000 0.500
Np: 0.500 0.500 0.000
S: 0.246 0.000 0.745
S: 0.252 0.500 0.257
S: 0.748 0.500 0.743
S: 0.754 0.000 0.255

ΔE_f (raw) in eV/atom: -1.5081
N(E_F) in states/eV/atom: 2.279
M_tot in Bohr magnetons per cell: 8.77

---

Entry 16:
Material: Na3Tm3NpS8
Method: DFT, GGA-PBE
State: optimized geometry

a b c (Å): 7.888 7.888 8.117
angles (deg): 119.12 119.12 60.00
Sites, in units of the cell vectors:
Na: 0.000 0.000 0.000
Na: 0.000 0.500 0.000
Na: 0.500 0.000 0.000
Tm: 0.000 0.500 0.500
Tm: 0.500 0.000 0.500
Tm: 0.500 0.500 0.500
Np: 0.000 0.000 0.500
S: 0.239 0.239 0.719
S: 0.239 0.742 0.719
S: 0.258 0.761 0.281
S: 0.259 0.259 0.277
S: 0.741 0.741 0.723
S: 0.742 0.239 0.719
S: 0.761 0.258 0.281
S: 0.761 0.761 0.281

ΔE_f (raw) in eV/atom: -1.7199
N(E_F) in states/eV/atom: 0.277
M_tot in Bohr magnetons per cell: 3.00

---

Entry 17:
Material: Na2TmNpS4
Method: DFT, GGA-PBE
State: optimized geometry

a b c (Å): 6.905 3.981 7.056
angles (deg): 90.00 109.15 90.00
Sites, in units of the cell vectors:
Na: 0.000 0.000 0.000
Na: 0.500 0.500 0.000
Tm: 0.000 0.500 0.500
Np: 0.500 0.000 0.500
S: 0.236 0.000 0.726
S: 0.253 0.500 0.274
S: 0.747 0.500 0.726
S: 0.764 0.000 0.274

ΔE_f (raw) in eV/atom: -1.5848
N(E_F) in states/eV/atom: 1.090
M_tot in Bohr magnetons per cell: 4.00

---

Entry 18:
Material: Na4NpU3S8
Method: DFT, GGA-PBE
State: optimized geometry

a b c (Å): 8.160 8.160 8.160
angles (deg): 58.05 58.05 58.05
Sites, in units of the cell vectors:
Na: 0.000 0.000 0.000
Na: 0.000 0.500 0.500
Na: 0.500 0.000 0.500
Na: 0.500 0.500 0.000
Np: 0.500 0.500 0.500
U: 0.000 0.000 0.500
U: 0.000 0.500 0.000
U: 0.500 0.000 0.000
S: 0.242 0.745 0.745
S: 0.244 0.244 0.244
S: 0.255 0.255 0.758
S: 0.255 0.758 0.255
S: 0.745 0.242 0.745
S: 0.745 0.745 0.242
S: 0.756 0.756 0.756
S: 0.758 0.255 0.255

ΔE_f (raw) in eV/atom: -1.3566
N(E_F) in states/eV/atom: 1.365
M_tot in Bohr magnetons per cell: 13.01

---

Entry 19:
Material: Na2Np2US6
Method: DFT, GGA-PBE
State: optimized geometry

a b c (Å): 6.932 6.932 7.078
angles (deg): 99.37 99.37 119.88
Sites, in units of the cell vectors:
Na: 0.168 0.832 0.000
Na: 0.832 0.168 0.000
Np: 0.335 0.665 0.500
Np: 0.665 0.335 0.500
U: 0.000 0.000 0.500
S: 0.069 0.402 0.719
S: 0.252 0.252 0.279
S: 0.402 0.069 0.719
S: 0.598 0.931 0.281
S: 0.748 0.748 0.721
S: 0.931 0.598 0.281

ΔE_f (raw) in eV/atom: -1.3715
N(E_F) in states/eV/atom: 2.009
M_tot in Bohr magnetons per cell: 10.00

---

Entry 20:
Material: Na4Np3US8
Method: DFT, GGA-PBE
State: optimized geometry

a b c (Å): 8.113 8.113 8.113
angles (deg): 59.09 59.09 59.09
Sites, in units of the cell vectors:
Na: 0.000 0.000 0.000
Na: 0.000 0.500 0.500
Na: 0.500 0.000 0.500
Na: 0.500 0.500 0.000
Np: 0.000 0.000 0.500
Np: 0.000 0.500 0.000
Np: 0.500 0.000 0.000
U: 0.500 0.500 0.500
S: 0.242 0.242 0.242
S: 0.245 0.741 0.741
S: 0.259 0.259 0.755
S: 0.259 0.755 0.259
S: 0.741 0.245 0.741
S: 0.741 0.741 0.245
S: 0.755 0.259 0.259
S: 0.758 0.758 0.758

ΔE_f (raw) in eV/atom: -1.3639
N(E_F) in states/eV/atom: 2.045
M_tot in Bohr magnetons per cell: 15.00

---

no.,DFT total energy (eV/atom)
1,-5.30
2,-4.99
3,-6.63
4,-6.44
5,-6.13
6,-6.45
7,-6.90
8,-6.83
9,-4.73
10,-6.15
11,-6.57
12,-6.43
13,-5.88
14,-5.75
15,-7.53
16,-5.94
17,-6.15
18,-6.68
19,-7.24
20,-6.89